# CoRe2Bi | Alexandria via LeMat-Bulk | PBE | relaxed
data_CoRe2Bi
_chemical_formula_sum 'Co2 Re4 Bi2'
_cell_length_a 3.8931
_cell_length_b 3.8931
_cell_length_c 9.9253
_cell_angle_alpha 78.69
_cell_angle_beta 78.69
_cell_angle_gamma 90.00
_symmetry_space_group_name_H-M 'P 1'
_symmetry_Int_Tables_number 1
loop_
_symmetry_equiv_pos_as_xyz
'x,y,z'
loop_
_atom_site_label
_atom_site_fract_x
_atom_site_fract_y
_atom_site_fract_z
Re1 0.5598 0.1250 0.2500
Re2 0.1902 0.6250 0.2500
Re3 0.3750 0.4402 0.7500
Re4 0.8750 0.8098 0.7500
Co1 0.5000 0.5000 0.0000
Co2 0.2500 0.7500 0.5000
Bi1 0.0000 0.0000 0.0000
Bi2 0.7500 0.2500 0.5000
# theoretical density = 14.71 g cm⁻³
# VASP energy = -64.45 eV for the cell shown
# total magnetization = 1.6 Bohr magnetons per cell


# CoReBi2 | Alexandria via LeMat-Bulk | PBE | relaxed
data_CoReBi2
_chemical_formula_sum 'Co1 Re1 Bi2'
_cell_length_a 4.7945
_cell_length_b 4.7945
_cell_length_c 4.7945
_cell_angle_alpha 60.00
_cell_angle_beta 60.00
_cell_angle_gamma 60.00
_symmetry_space_group_name_H-M 'P 1'
_symmetry_Int_Tables_number 1
loop_
_symmetry_equiv_pos_as_xyz
'x,y,z'
loop_
_atom_site_label
_atom_site_fract_x
_atom_site_fract_y
_atom_site_fract_z
Re1 0.5000 0.5000 0.5000
Co1 0.0000 0.0000 0.0000
Bi1 0.2500 0.2500 0.2500
Bi2 0.7500 0.7500 0.7500
# relative energy among the computed polymorphs = 0.000 eV per atom
# theoretical density = 14.13 g cm⁻³
# VASP energy = -23.73 eV for the cell shown
# total magnetization = 1.5 Bohr magnetons per cell


# CoReBi3 | Alexandria via LeMat-Bulk | PBE | relaxed
data_CoReBi3
_chemical_formula_sum 'Co1 Re1 Bi3'
_cell_length_a 5.0349
_cell_length_b 5.0349
_cell_length_c 5.0349
_cell_angle_alpha 90.00
_cell_angle_beta 90.00
_cell_angle_gamma 90.00
_symmetry_space_group_name_H-M 'P 1'
_symmetry_Int_Tables_number 1
loop_
_symmetry_equiv_pos_as_xyz
'x,y,z'
loop_
_atom_site_label
_atom_site_fract_x
_atom_site_fract_y
_atom_site_fract_z
Re1 0.5000 0.5000 0.5000
Co1 0.0000 0.0000 0.0000
Bi1 0.0000 0.5000 0.0000
Bi2 0.0000 0.0000 0.5000
Bi3 0.5000 0.0000 0.0000
# relative energy among the computed polymorphs = 0.000 eV per atom
# theoretical density = 11.35 g cm⁻³
# VASP energy = -25.02 eV for the cell shown
# total magnetization = 2.5 Bohr magnetons per cell


# CoReBi2 | Alexandria via LeMat-Bulk | PBE | relaxed
data_CoReBi2
_chemical_formula_sum 'Co2 Re2 Bi4'
_cell_length_a 6.0661
_cell_length_b 6.0661
_cell_length_c 7.3585
_cell_angle_alpha 65.66
_cell_angle_beta 65.66
_cell_angle_gamma 90.00
_symmetry_space_group_name_H-M 'P 1'
_symmetry_Int_Tables_number 1
loop_
_symmetry_equiv_pos_as_xyz
'x,y,z'
loop_
_atom_site_label
_atom_site_fract_x
_atom_site_fract_y
_atom_site_fract_z
Re1 0.0000 0.0000 0.0000
Re2 0.7500 0.2500 0.5000
Co1 0.5000 0.5000 0.0000
Co2 0.2500 0.7500 0.5000
Bi1 0.6071 0.1250 0.2500
Bi2 0.1429 0.6250 0.2500
Bi3 0.3750 0.3929 0.7500
Bi4 0.8750 0.8571 0.7500
# relative energy among the computed polymorphs = 0.401 eV per atom
# theoretical density = 10.01 g cm⁻³
# VASP energy = -44.25 eV for the cell shown
# total magnetization = 0.0 Bohr magnetons per cell


# CoRe3Bi | Alexandria via LeMat-Bulk | PBE | relaxed
data_CoRe3Bi
_chemical_formula_sum 'Co1 Re3 Bi1'
_cell_length_a 4.5286
_cell_length_b 4.5286
_cell_length_c 4.5286
_cell_angle_alpha 90.00
_cell_angle_beta 90.00
_cell_angle_gamma 90.00
_symmetry_space_group_name_H-M 'P 1'
_symmetry_Int_Tables_number 1
loop_
_symmetry_equiv_pos_as_xyz
'x,y,z'
loop_
_atom_site_label
_atom_site_fract_x
_atom_site_fract_y
_atom_site_fract_z
Re1 0.0000 0.5000 0.0000
Re2 0.0000 0.0000 0.5000
Re3 0.5000 0.0000 0.0000
Co1 0.0000 0.0000 0.0000
Bi1 0.5000 0.5000 0.5000
# relative energy among the computed polymorphs = 0.000 eV per atom
# theoretical density = 14.78 g cm⁻³
# VASP energy = -40.25 eV for the cell shown
# total magnetization = 0.9 Bohr magnetons per cell


# Co2ReBi | Alexandria via LeMat-Bulk | PBE | relaxed
data_Co2ReBi
_chemical_formula_sum 'Co4 Re2 Bi2'
_cell_length_a 5.5813
_cell_length_b 5.5813
_cell_length_c 6.7213
_cell_angle_alpha 65.47
_cell_angle_beta 65.47
_cell_angle_gamma 90.00
_symmetry_space_group_name_H-M 'P 1'
_symmetry_Int_Tables_number 1
loop_
_symmetry_equiv_pos_as_xyz
'x,y,z'
loop_
_atom_site_label
_atom_site_fract_x
_atom_site_fract_y
_atom_site_fract_z
Re1 0.5000 0.5000 0.0000
Re2 0.2500 0.7500 0.5000
Co1 0.5804 0.1250 0.2500
Co2 0.1696 0.6250 0.2500
Co3 0.3750 0.4196 0.7500
Co4 0.8750 0.8304 0.7500
Bi1 0.0000 0.0000 0.0000
Bi2 0.7500 0.2500 0.5000
# theoretical density = 10.05 g cm⁻³
# VASP energy = -52.48 eV for the cell shown
# total magnetization = 0.0 Bohr magnetons per cell